Record 1
Material: CoCuP2
Method: DFT, PBE-GGA
State: relaxed

Geometry as CIF:
```
data_CoCuP2
_space_group_name_H-M_alt 'I -4 m 2'
_space_group_IT_number 119
_space_group_name_Hall 'I -4 -2'
_cell_length_a 3.507
_cell_length_b 3.507
_cell_length_c 7.913
_cell_angle_alpha 90.00
_cell_angle_beta 90.00
_cell_angle_gamma 90.00
loop_
_atom_site_label
_atom_site_type_symbol
_atom_site_fract_x
_atom_site_fract_y
_atom_site_fract_z
_atom_site_occupancy
Co1 Co 0.000 0.000 0.000 1
Cu1 Cu 0.000 0.500 0.750 1
P1 P 0.000 0.000 0.500 1
P2 P 0.000 0.500 0.250 1
```

For the density of states at the Fermi level, the calculation gives 4.6 states/eV/cell. Its formation energy is 0.206 eV per atom. The calculation puts the total DFT energy (no corrections) at -5.30 eV per atom.

Record 2
Material: SrLi2Pb
Method: DFT, PBE-GGA
State: relaxed

Geometry as CIF:
```
data_SrLi2Pb
_space_group_name_H-M_alt 'P 4/m m m'
_space_group_IT_number 123
_space_group_name_Hall '-P 4 2'
_cell_length_a 4.948
_cell_length_b 4.948
_cell_length_c 4.558
_cell_angle_alpha 90.00
_cell_angle_beta 90.00
_cell_angle_gamma 90.00
loop_
_atom_site_label
_atom_site_type_symbol
_atom_site_fract_x
_atom_site_fract_y
_atom_site_fract_z
_atom_site_occupancy
Sr1 Sr 0.000 0.000 0.000 1
Li1 Li 0.000 0.500 0.500 1
Pb1 Pb 0.500 0.500 0.000 1
```

For the density of states at the Fermi level, the calculation gives 2.2 states/eV/cell. Its formation energy is -0.188 eV per atom. The calculation puts the total DFT energy (no corrections) at -2.49 eV per atom.

Record 3
Material: DySbTe
Method: DFT, PBE-GGA
State: relaxed

Geometry as CIF:
```
data_DySbTe
_space_group_name_H-M_alt 'I m m m'
_space_group_IT_number 71
_space_group_name_Hall '-I 2 2'
_cell_length_a 3.590
_cell_length_b 5.565
_cell_length_c 18.425
_cell_angle_alpha 90.00
_cell_angle_beta 90.00
_cell_angle_gamma 90.00
loop_
_atom_site_label
_atom_site_type_symbol
_atom_site_fract_x
_atom_site_fract_y
_atom_site_fract_z
_atom_site_occupancy
Dy1 Dy 0.000 0.000 0.154 1
Sb1 Sb 0.000 0.000 0.325 1
Te1 Te 0.000 0.252 0.000 1
```

For the density of states at the Fermi level, the calculation gives 9.6 states/eV/cell. The calculation puts the total DFT energy (no corrections) at -4.40 eV per atom. The value obtained for the formation energy without anion corrections is -0.4419 eV per atom.

Record 4
Material: Sm2Zr3Ga4
Method: DFT, PBE-GGA
State: relaxed

Geometry as CIF:
```
data_Sm2Zr3Ga4
_space_group_name_H-M_alt 'P 1 21/c 1'
_space_group_IT_number 14
_cell_length_a 7.598
_cell_length_b 7.611
_cell_length_c 7.344
_cell_angle_alpha 90.00
_cell_angle_beta 107.87
_cell_angle_gamma 90.00
loop_
_space_group_symop_operation_xyz
'x,y,z'
'-x,-y,-z'
'-x,y+1/2,-z+1/2'
'x,-y+1/2,z+1/2'
loop_
_atom_site_label
_atom_site_type_symbol
_atom_site_fract_x
_atom_site_fract_y
_atom_site_fract_z
_atom_site_occupancy
Sm1 Sm 0.191 0.172 0.071 1
Zr1 Zr 0.250 0.678 0.249 1
Zr2 Zr 0.500 0.000 0.500 1
Ga1 Ga 0.081 0.538 0.868 1
Ga2 Ga 0.496 0.123 0.871 1
```

For the density of states at the Fermi level, the calculation gives 19.0 states/eV/cell. Its formation energy is -0.557 eV per atom. The calculation puts the polymorph energy (0 for the lowest one) at 0.000 eV/atom. The calculation puts the total DFT energy (no corrections) at -5.80 eV per atom.

Record 5
Material: Sm3AgHg5
Method: DFT, PBE-GGA
State: relaxed

Geometry as CIF:
```
data_Sm3AgHg5
_space_group_name_H-M_alt 'P 63/m c m'
_space_group_IT_number 193
_space_group_name_Hall '-P 6c 2'
_cell_length_a 9.0786
_cell_length_b 9.0786
_cell_length_c 6.3580
_cell_angle_alpha 90.00
_cell_angle_beta 90.00
_cell_angle_gamma 120.00
loop_
_atom_site_label
_atom_site_type_symbol
_atom_site_fract_x
_atom_site_fract_y
_atom_site_fract_z
_atom_site_occupancy
Sm1 Sm 0.0000 0.3541 0.2500 1
Ag1 Ag 0.0000 0.0000 0.0000 1
Hg1 Hg 0.0000 0.3061 0.7500 1
Hg2 Hg 0.3333 0.6667 0.0000 1
```

For the density of states at the Fermi level, the calculation gives 13.1 states/eV/cell. Its formation energy is -0.397 eV per atom. The calculation puts the total DFT energy (no corrections) at -2.45 eV per atom.

Record 6
Material: Ho4NiPSe2
Method: DFT, PBE-GGA
State: relaxed

Geometry as CIF:
```
data_Ho4NiPSe2
_space_group_name_H-M_alt 'P 1 2/m 1'
_space_group_IT_number 10
_cell_length_a 6.948
_cell_length_b 3.953
_cell_length_c 7.076
_cell_angle_alpha 90.00
_cell_angle_beta 108.74
_cell_angle_gamma 90.00
loop_
_space_group_symop_operation_xyz
'x,y,z'
'-x,-y,-z'
'-x,y,-z'
'x,-y,z'
loop_
_atom_site_label
_atom_site_type_symbol
_atom_site_fract_x
_atom_site_fract_y
_atom_site_fract_z
_atom_site_occupancy
Ho1 Ho 0.237 0.000 0.226 1
Ho2 Ho 0.255 0.500 0.769 1
Ni1 Ni 0.000 0.500 0.000 1
P1 P 0.500 0.000 0.000 1
Se1 Se 0.000 0.000 0.500 1
Se2 Se 0.500 0.500 0.500 1
```

For the density of states at the Fermi level, the calculation gives 5.3 states/eV/cell. The calculation puts the total DFT energy (no corrections) at -5.92 eV per atom. The value obtained for the formation energy without anion corrections is -1.3604 eV per atom.

Record 7
Material: FeIr2Pt2
Method: DFT, PBE-GGA
State: relaxed

Geometry as CIF:
```
data_FeIr2Pt2
_space_group_name_H-M_alt 'I 4/m m m'
_space_group_IT_number 139
_space_group_name_Hall '-I 4 2'
_cell_length_a 3.580
_cell_length_b 3.580
_cell_length_c 13.126
_cell_angle_alpha 90.00
_cell_angle_beta 90.00
_cell_angle_gamma 90.00
loop_
_atom_site_label
_atom_site_type_symbol
_atom_site_fract_x
_atom_site_fract_y
_atom_site_fract_z
_atom_site_occupancy
Fe1 Fe 0.000 0.000 0.000 1
Ir1 Ir 0.000 0.500 0.250 1
Pt1 Pt 0.000 0.000 0.403 1
```

For the density of states at the Fermi level, the calculation gives 14.9 states/eV/cell. Its formation energy is 0.450 eV per atom. The calculation puts the total DFT energy (no corrections) at -7.20 eV per atom.

Record 8
Material: SmYGa2Pd5
Method: DFT, PBE-GGA
State: relaxed

Geometry as CIF:
```
data_SmYGa2Pd5
_space_group_name_H-M_alt 'P 4/m m m'
_space_group_IT_number 123
_space_group_name_Hall '-P 4 2'
_cell_length_a 4.231
_cell_length_b 4.231
_cell_length_c 9.283
_cell_angle_alpha 90.00
_cell_angle_beta 90.00
_cell_angle_gamma 90.00
loop_
_atom_site_label
_atom_site_type_symbol
_atom_site_fract_x
_atom_site_fract_y
_atom_site_fract_z
_atom_site_occupancy
Sm1 Sm 0.000 0.000 0.000 1
Y1 Y 0.000 0.000 0.500 1
Ga1 Ga 0.500 0.500 0.366 1
Pd1 Pd 0.000 0.500 0.225 1
Pd2 Pd 0.500 0.500 0.000 1
```

For the density of states at the Fermi level, the calculation gives 5.3 states/eV/cell. Its formation energy is -0.801 eV per atom. The calculation puts the total DFT energy (no corrections) at -5.60 eV per atom.

Record 9
Material: InSiRu2
Method: DFT, PBE-GGA
State: relaxed

Geometry as CIF:
```
data_InSiRu2
_space_group_name_H-M_alt 'I -4 m 2'
_space_group_IT_number 119
_space_group_name_Hall 'I -4 -2'
_cell_length_a 3.776
_cell_length_b 3.776
_cell_length_c 8.580
_cell_angle_alpha 90.00
_cell_angle_beta 90.00
_cell_angle_gamma 90.00
loop_
_atom_site_label
_atom_site_type_symbol
_atom_site_fract_x
_atom_site_fract_y
_atom_site_fract_z
_atom_site_occupancy
In1 In 0.000 0.000 0.000 1
Si1 Si 0.000 0.500 0.250 1
Ru1 Ru 0.000 0.000 0.500 1
Ru2 Ru 0.000 0.500 0.750 1
```

For the density of states at the Fermi level, the calculation gives 7.7 states/eV/cell. The calculation puts the total DFT energy (no corrections) at -6.49 eV per atom. The value obtained for the formation energy without anion corrections is 0.1906 eV per atom.

Record 10
Material: Ce2HoHf
Method: DFT, PBE-GGA
State: relaxed

Geometry as CIF:
```
data_Ce2HoHf
_space_group_name_H-M_alt 'P 4/m m m'
_space_group_IT_number 123
_space_group_name_Hall '-P 4 2'
_cell_length_a 4.702
_cell_length_b 4.702
_cell_length_c 4.904
_cell_angle_alpha 90.00
_cell_angle_beta 90.00
_cell_angle_gamma 90.00
loop_
_atom_site_label
_atom_site_type_symbol
_atom_site_fract_x
_atom_site_fract_y
_atom_site_fract_z
_atom_site_occupancy
Ce1 Ce 0.000 0.500 0.000 1
Ho1 Ho 0.000 0.000 0.500 1
Hf1 Hf 0.500 0.500 0.500 1
```

For the density of states at the Fermi level, the calculation gives 10.1 states/eV/cell. Its formation energy is 0.168 eV per atom. The calculation puts the polymorph energy (0 for the lowest one) at 0.032 eV/atom. The calculation puts the total DFT energy (no corrections) at -6.43 eV per atom.

Record 11
Material: Ga2Ni8As
Method: DFT, PBE-GGA
State: relaxed

Geometry as CIF:
```
data_Ga2Ni8As
_space_group_name_H-M_alt 'I m m m'
_space_group_IT_number 71
_space_group_name_Hall '-I 2 2'
_cell_length_a 4.111
_cell_length_b 5.231
_cell_length_c 12.358
_cell_angle_alpha 90.00
_cell_angle_beta 90.00
_cell_angle_gamma 90.00
loop_
_atom_site_label
_atom_site_type_symbol
_atom_site_fract_x
_atom_site_fract_y
_atom_site_fract_z
_atom_site_occupancy
Ga1 Ga 0.000 0.000 0.181 1
Ni1 Ni 0.000 0.245 0.000 1
Ni2 Ni 0.000 0.259 0.353 1
Ni3 Ni 0.000 0.500 0.179 1
As1 As 0.000 0.000 0.500 1
```

For the density of states at the Fermi level, the calculation gives 14.4 states/eV/cell. Its formation energy is -0.232 eV per atom. The calculation puts the total DFT energy (no corrections) at -5.41 eV per atom.

Record 12
Material: Zr2AlSe
Method: DFT, PBE-GGA
State: relaxed

Geometry as CIF:
```
data_Zr2AlSe
_space_group_name_H-M_alt 'F m -3 m'
_space_group_IT_number 225
_space_group_name_Hall '-F 4 2 3'
_cell_length_a 6.819
_cell_length_b 6.819
_cell_length_c 6.819
_cell_angle_alpha 90.00
_cell_angle_beta 90.00
_cell_angle_gamma 90.00
loop_
_atom_site_label
_atom_site_type_symbol
_atom_site_fract_x
_atom_site_fract_y
_atom_site_fract_z
_atom_site_occupancy
Zr1 Zr 0.250 0.250 0.250 1
Al1 Al 0.000 0.000 0.000 1
Se1 Se 0.000 0.000 0.500 1
```

For the density of states at the Fermi level, the calculation gives 25.2 states/eV/cell. The calculation puts the polymorph energy (0 for the lowest one) at 0.321 eV/atom. The calculation puts the total DFT energy (no corrections) at -6.45 eV per atom. The value obtained for the formation energy without anion corrections is -0.3716 eV per atom.